[1]
Compound: BeCd2Rh
Source: Alexandria via LeMat-Bulk
Functional: PBE
Structure: relaxed

The structure in extended XYZ format:
```
8
Lattice="3.039 0.000 0.000 0.000 4.919 0.000 0.000 0.000 8.759" Properties=species:S:1:pos:R:3 pbc="T T T"
Be 0.000 0.000 0.000
Be 1.520 2.460 0.000
Cd 0.000 2.460 2.091
Cd 0.000 2.460 6.668
Cd 1.520 0.000 2.091
Cd 1.520 0.000 6.668
Rh 0.000 0.000 4.379
Rh 1.520 2.460 4.379
```

Calculated values
Symmetry ... Cmmm, No. 65
Energy of formation from the pure elements ... 0.34 eV/atom
M_tot ... 0.000 μB per cell
Density ... 8.540 g/cm³

---

[2]
Compound: BeCd2Rh
Source: Alexandria via LeMat-Bulk
Functional: PBE
Structure: relaxed

The structure in extended XYZ format:
```
8
Lattice="5.613 0.000 0.000 0.000 7.333 0.000 0.000 0.000 3.153" Properties=species:S:1:pos:R:3 pbc="T T T"
Be 0.000 0.000 0.000
Be 2.807 3.666 0.000
Cd 1.403 1.833 1.576
Cd 1.403 5.500 1.576
Cd 4.210 1.833 1.576
Cd 4.210 5.500 1.576
Rh 0.000 3.666 0.000
Rh 2.807 0.000 0.000
```

Calculated values
Symmetry ... Cmmm, No. 65
Energy of formation from the pure elements ... 0.14 eV/atom
M_tot ... 0.000 μB per cell
Density ... 8.618 g/cm³

---

[3]
Compound: Be2CdRh
Source: Alexandria via LeMat-Bulk
Functional: PBE
Structure: relaxed

The structure in extended XYZ format:
```
4
Lattice="2.924 0.000 0.000 0.000 2.923 0.000 -0.018 0.000 5.981" Properties=species:S:1:pos:R:3 pbc="T T T"
Be 0.001 0.000 1.142
Be 2.904 0.000 4.839
Cd 1.453 1.461 2.990
Rh 1.462 1.461 0.000
```

Calculated values
Symmetry ... P2/m, No. 10
Energy of formation from the pure elements ... -0.24 eV/atom
M_tot ... 0.000 μB per cell
Density ... 7.582 g/cm³

---

- Among the records above, which one has the lowest density?
  Be2CdRh

---

What did the third record say?
Compound: Be2CdRh
Source: Alexandria via LeMat-Bulk
Functional: PBE
Structure: relaxed

The structure in extended XYZ format:
```
4
Lattice="2.924 0.000 0.000 0.000 2.923 0.000 -0.018 0.000 5.981" Properties=species:S:1:pos:R:3 pbc="T T T"
Be 0.001 0.000 1.142
Be 2.904 0.000 4.839
Cd 1.453 1.461 2.990
Rh 1.462 1.461 0.000
```

Calculated values
Symmetry ... P2/m, No. 10
Energy of formation from the pure elements ... -0.24 eV/atom
M_tot ... 0.000 μB per cell
Density ... 7.582 g/cm³